1.
# GGA-PBE Zr2ScV, optimized geometry
data_Zr2ScV
_symmetry_space_group_name_H-M 'F m -3 m'
_symmetry_Int_Tables_number 225
_symmetry_space_group_name_Hall '-F 4 2 3'
_cell_length_a 6.933
_cell_length_b 6.933
_cell_length_c 6.933
_cell_angle_alpha 90.00
_cell_angle_beta 90.00
_cell_angle_gamma 90.00
loop_
_atom_site_label
_atom_site_fract_x
_atom_site_fract_y
_atom_site_fract_z
Zr1 0.250 0.250 0.250
Sc1 0.000 0.000 0.000
V1 0.000 0.000 0.500
# formation enthalpy at 0 K	0.174	eV/atom
# distance to the lowest polymorph of the same formula	33	meV/atom

2.
# GGA-PBE Ce3Ho3PuS8, optimized geometry
data_Ce3Ho3PuS8
_symmetry_space_group_name_H-M 'R -3 m'
_symmetry_Int_Tables_number 166
_symmetry_space_group_name_Hall '-R 3 2"'
_cell_length_a 7.8728
_cell_length_b 7.8728
_cell_length_c 19.5937
_cell_angle_alpha 90.00
_cell_angle_beta 90.00
_cell_angle_gamma 120.00
loop_
_atom_site_label
_atom_site_fract_x
_atom_site_fract_y
_atom_site_fract_z
Ce1 0.0000 0.5000 0.0000
Ho1 0.0000 0.5000 0.5000
Pu1 0.0000 0.0000 0.5000
S1 0.0000 0.0000 0.2455
S2 0.0061 0.5031 0.7529
# formation energy (no corrections)	-1.9930	eV/atom

3.
# GGA-PBE Nb2TeOs, optimized geometry
data_Nb2TeOs
_symmetry_space_group_name_H-M 'I -4 2 d'
_symmetry_Int_Tables_number 122
_symmetry_space_group_name_Hall 'I -4 2bw'
_cell_length_a 5.778
_cell_length_b 5.778
_cell_length_c 13.127
_cell_angle_alpha 90.00
_cell_angle_beta 90.00
_cell_angle_gamma 90.00
loop_
_atom_site_label
_atom_site_fract_x
_atom_site_fract_y
_atom_site_fract_z
Nb1 0.201 0.250 0.125
Te1 0.000 0.000 0.500
Os1 0.000 0.000 0.000
# formation energy (no corrections)	0.7979	eV/atom

4.
# GGA-PBE LuGa2Pb, optimized geometry
data_LuGa2Pb
_symmetry_space_group_name_H-M 'R -3 m'
_symmetry_Int_Tables_number 166
_symmetry_space_group_name_Hall '-R 3 2"'
_cell_length_a 4.8788
_cell_length_b 4.8788
_cell_length_c 18.8817
_cell_angle_alpha 90.00
_cell_angle_beta 90.00
_cell_angle_gamma 120.00
loop_
_atom_site_label
_atom_site_fract_x
_atom_site_fract_y
_atom_site_fract_z
Lu1 0.0000 0.0000 0.0000
Ga1 0.0000 0.0000 0.3539
Pb1 0.0000 0.0000 0.5000
# formation enthalpy at 0 K	0.258	eV/atom
# distance to the lowest polymorph of the same formula	557	meV/atom

5.
# GGA-PBE CdCu, optimized geometry
data_CdCu
_symmetry_space_group_name_H-M 'P 1 21/m 1'
_symmetry_Int_Tables_number 11
_cell_length_a 2.914
_cell_length_b 4.343
_cell_length_c 5.410
_cell_angle_alpha 90.00
_cell_angle_beta 104.63
_cell_angle_gamma 90.00
loop_
_symmetry_equiv_pos_as_xyz
'x,y,z'
'-x,-y,-z'
'-x,y+1/2,-z'
'x,-y+1/2,z'
loop_
_atom_site_label
_atom_site_fract_x
_atom_site_fract_y
_atom_site_fract_z
Cd1 0.159 0.250 0.329
Cu1 0.440 0.250 0.873
# formation enthalpy at 0 K	0.055	eV/atom

6.
# GGA-PBE AcPmSi, optimized geometry
data_AcPmSi
_symmetry_space_group_name_H-M 'F -4 3 m'
_symmetry_Int_Tables_number 216
_symmetry_space_group_name_Hall 'F -4 2 3'
_cell_length_a 7.315
_cell_length_b 7.315
_cell_length_c 7.315
_cell_angle_alpha 90.00
_cell_angle_beta 90.00
_cell_angle_gamma 90.00
loop_
_atom_site_label
_atom_site_fract_x
_atom_site_fract_y
_atom_site_fract_z
Ac1 0.000 0.000 0.000
Pm1 0.000 0.000 0.500
Si1 0.250 0.250 0.750
# formation energy (no corrections)	-0.3435	eV/atom
# distance to the lowest polymorph of the same formula	80	meV/atom

DOS(E_F) values, unit states/eV per cell, following the record order: 18.87 67.67 29.87 7.87 1.09 14.17.
Spin magnetization values, unit μB/cell, following the record order: 6.0 27.5 0.0 0.0 0.0 0.0.